# SrCaPuCl6

SrCaPuCl6 after structural relaxation (PBE-GGA, the Alexandria database).

a b c (Å): 7.1633 7.1633 12.6664
angles (deg): 90.00 90.00 120.00
Last column: nearest neighbours and their distance in Å.
Element x y z (fractional)
Cl  0.9895  0.6529  0.8708  1 Ca 2.76, 1 Pu 2.86, 1 Sr 2.95
Pu  0.3333  0.6667  0.7500  6 Cl 2.86
Sr  0.0000  0.0000  0.0000  6 Cl 2.95
Cl  0.0105  0.6634  0.3708  1 Ca 2.76, 1 Pu 2.86, 1 Sr 2.95
Cl  0.3471  0.0105  0.6292  1 Ca 2.76, 1 Pu 2.86, 1 Sr 2.95
Cl  0.6634  0.6529  0.6292  1 Ca 2.76, 1 Pu 2.86, 1 Sr 2.95
Ca  0.6667  0.3333  0.7500  6 Cl 2.76
Cl  0.6529  0.9895  0.3708  1 Ca 2.76, 1 Pu 2.86, 1 Sr 2.95
Cl  0.9895  0.3366  0.6292  1 Ca 2.76, 1 Pu 2.86, 1 Sr 2.95
Cl  0.6634  0.0105  0.8708  1 Ca 2.76, 1 Pu 2.86, 1 Sr 2.95
Cl  0.3366  0.3471  0.3708  1 Ca 2.76, 1 Pu 2.86, 1 Sr 2.95
Sr  0.0000  0.0000  0.5000  6 Cl 2.95
Ca  0.3333  0.6667  0.2500  6 Cl 2.76
Cl  0.3471  0.3366  0.8708  1 Ca 2.76, 1 Pu 2.86, 1 Sr 2.95
Cl  0.0105  0.3471  0.1292  1 Ca 2.76, 1 Pu 2.86, 1 Sr 2.95
Pu  0.6667  0.3333  0.2500  6 Cl 2.86
Cl  0.3366  0.9895  0.1292  1 Ca 2.76, 1 Pu 2.86, 1 Sr 2.95
Cl  0.6529  0.6634  0.1292  1 Ca 2.76, 1 Pu 2.86, 1 Sr 2.95

- calculated density (g cm⁻³) = 3.45
- crystal system = trigonal
- spin magnetization (μB/atom) = 0.67
- formation energy (no corrections) (eV per atom) = -2.17